Version P
Entry from Alexandria: an optimized crystal structure of SnH2Au (PBE-GGA).

a b c (Å): 4.215 4.215 4.215
angles (deg): 60.00 60.00 60.00
Atoms (fractional coordinates):
H (0.250, 0.250, 0.250)
H (0.750, 0.750, 0.750)
Sn (0.000, 0.000, 0.000)
Au (0.500, 0.500, 0.500)

---

Version Q
Entry from Alexandria: an optimized crystal structure of SnH2Au (PBE-GGA).

a b c (Å): 4.595 4.595 6.419
angles (deg): 69.03 69.03 90.00
Atoms (fractional coordinates):
Au (0.750, 0.250, 0.500)
H (0.923, 0.625, 0.250)
H (0.375, 0.173, 0.750)
H (0.827, 0.125, 0.250)
H (0.875, 0.077, 0.750)
Au (0.000, 0.000, 0.000)
Sn (0.500, 0.500, 0.000)
Sn (0.250, 0.750, 0.500)

---

Version R
Entry from Alexandria: an optimized crystal structure of SnH2Au (PBE-GGA).

a b c (Å): 4.459 3.283 8.278
angles (deg): 89.14 90.00 90.00
Atoms (fractional coordinates):
Au (0.750, 0.250, 0.003)
H (0.991, 0.251, 0.367)
H (0.509, 0.251, 0.367)
Sn (0.250, 0.754, 0.326)
Sn (0.750, 0.246, 0.674)
H (0.009, 0.749, 0.633)
Au (0.250, 0.750, 0.997)
H (0.491, 0.749, 0.633)

---

Which of them is most stable? Easy: version Q.

---

Version P
Entry from Alexandria: an optimized crystal structure of SnH2Au2 (PBE-GGA).

a b c (Å): 3.961 3.961 5.297
angles (deg): 68.05 68.05 90.00
Atoms (fractional coordinates):
Au (0.660, 0.660, 0.680)
Sn (0.000, 0.000, 0.000)
Au (0.340, 0.340, 0.320)
H (0.250, 0.750, 0.500)
H (0.750, 0.250, 0.500)

---

Version Q
Entry from Alexandria: an optimized crystal structure of SnH2Au2 (PBE-GGA).

a b c (Å): 6.622 6.622 3.603
angles (deg): 90.00 90.00 90.00
Atoms (fractional coordinates):
H (0.643, 0.857, 0.000)
H (0.143, 0.643, 0.000)
Sn (0.500, 0.500, 0.000)
Au (0.346, 0.154, 0.500)
H (0.857, 0.357, 0.000)
Sn (0.000, 0.000, 0.000)
Au (0.654, 0.846, 0.500)
Au (0.154, 0.654, 0.500)
Au (0.846, 0.346, 0.500)
H (0.357, 0.143, 0.000)

---

Version R
Entry from Alexandria: an optimized crystal structure of SnH2Au2 (PBE-GGA).

a b c (Å): 4.300 3.996 6.457
angles (deg): 84.89 70.55 57.45
Atoms (fractional coordinates):
H (0.549, 0.465, 0.436)
Au (0.810, 0.640, 0.739)
Au (0.190, 0.360, 0.261)
Sn (0.000, 0.000, 0.000)
H (0.451, 0.535, 0.564)

---

Which of them is most stable? Easy: version Q.

---

Version P
Entry from Alexandria: an optimized crystal structure of SnHAu (PBE-GGA).

a b c (Å): 9.296 5.311 12.424
angles (deg): 33.95 22.74 34.18
Atoms (fractional coordinates):
Au (0.889, 0.729, 0.457)
Au (0.262, 0.664, 0.584)
Sn (0.708, 0.140, 0.638)
H (0.849, 0.450, 0.998)
H (0.302, 0.943, 0.042)
Sn (0.443, 0.253, 0.403)

---

Version Q
Entry from Alexandria: an optimized crystal structure of SnHAu (PBE-GGA).

a b c (Å): 3.907 4.035 7.612
angles (deg): 90.68 90.00 118.95
Atoms (fractional coordinates):
Au (0.328, 0.656, 0.386)
Sn (0.350, 0.701, 0.830)
Sn (0.650, 0.299, 0.170)
Au (0.672, 0.344, 0.614)
H (0.849, 0.698, 0.997)
H (0.151, 0.302, 0.003)

---

Version R
Entry from Alexandria: an optimized crystal structure of SnHAu (PBE-GGA).

a b c (Å): 3.774 3.774 5.257
angles (deg): 111.04 111.04 90.00
Atoms (fractional coordinates):
Au (0.154, 0.154, 0.308)
H (0.951, 0.951, 0.903)
Sn (0.745, 0.745, 0.489)

---

Which of them is most stable? Easy: version R.

---

Version P
Entry from Alexandria: an optimized crystal structure of SrH2Au2 (PBE-GGA).

a b c (Å): 6.762 6.762 3.795
angles (deg): 90.00 90.00 90.00
Atoms (fractional coordinates):
Au (0.649, 0.851, 0.500)
Sr (0.000, 0.000, 0.000)
Au (0.851, 0.351, 0.500)
H (0.650, 0.850, 0.000)
H (0.850, 0.350, 0.000)
Au (0.351, 0.149, 0.500)
Au (0.149, 0.649, 0.500)
H (0.150, 0.650, 0.000)
H (0.350, 0.150, 0.000)
Sr (0.500, 0.500, 0.000)

---

Version Q
Entry from Alexandria: an optimized crystal structure of SrH2Au2 (PBE-GGA).

a b c (Å): 4.088 4.088 5.455
angles (deg): 67.99 67.99 90.00
Atoms (fractional coordinates):
H (0.250, 0.750, 0.500)
Sr (0.000, 0.000, 0.000)
H (0.750, 0.250, 0.500)
Au (0.655, 0.655, 0.690)
Au (0.345, 0.345, 0.310)

---

Which of them is most stable? Easy: version P.

---

Version P
Entry from Alexandria: an optimized crystal structure of TaH2Au (PBE-GGA).

a b c (Å): 3.917 3.917 3.917
angles (deg): 60.00 60.00 60.00
Atoms (fractional coordinates):
H (0.750, 0.750, 0.750)
Ta (0.000, 0.000, 0.000)
Au (0.500, 0.500, 0.500)
H (0.250, 0.250, 0.250)

---

Version Q
Entry from Alexandria: an optimized crystal structure of TaH2Au (PBE-GGA).

a b c (Å): 3.095 3.095 5.550
angles (deg): 73.81 73.81 60.00
Atoms (fractional coordinates):
H (0.044, 0.044, 0.869)
Au (0.493, 0.493, 0.521)
Ta (0.674, 0.674, 0.978)
H (0.290, 0.290, 0.131)

---

Version R
Entry from Alexandria: an optimized crystal structure of TaH2Au (PBE-GGA).

a b c (Å): 4.334 4.334 5.596
angles (deg): 67.22 67.22 90.00
Atoms (fractional coordinates):
Ta (0.250, 0.750, 0.500)
H (0.171, 0.625, 0.250)
H (0.375, 0.421, 0.750)
H (0.579, 0.125, 0.250)
Ta (0.500, 0.500, 0.000)
H (0.875, 0.829, 0.750)
Au (0.000, 0.000, 0.000)
Au (0.750, 0.250, 0.500)

---

Which of them is most stable? Easy: version Q.

---

Version P
Entry from Alexandria: an optimized crystal structure of TaHAu2 (PBE-GGA).

a b c (Å): 4.485 4.485 4.485
angles (deg): 60.00 60.00 60.00
Atoms (fractional coordinates):
Au (0.750, 0.750, 0.750)
Ta (0.500, 0.500, 0.500)
H (0.000, 0.000, 0.000)
Au (0.250, 0.250, 0.250)

---

Version Q
Entry from Alexandria: an optimized crystal structure of TaHAu2 (PBE-GGA).

a b c (Å): 6.051 6.051 5.413
angles (deg): 56.02 56.02 90.00
Atoms (fractional coordinates):
H (0.500, 0.500, 0.000)
Au (0.228, 0.625, 0.250)
Au (0.522, 0.125, 0.250)
Ta (0.750, 0.250, 0.500)
H (0.250, 0.750, 0.500)
Au (0.375, 0.478, 0.750)
Ta (0.000, 0.000, 0.000)
Au (0.875, 0.772, 0.750)

---

Which of them is most stable? Easy: version Q.

---

Version P
Entry from Alexandria: an optimized crystal structure of TbHAu (PBE-GGA).

a b c (Å): 5.302 5.302 7.050
angles (deg): 90.00 89.97 90.00
Atoms (fractional coordinates):
H (0.500, 0.250, 0.500)
H (0.000, 0.750, 0.500)
Au (0.750, 0.500, 0.888)
Au (0.250, 0.500, 0.112)
Tb (0.250, 0.500, 0.679)
Tb (0.750, 0.000, 0.679)
Au (0.250, 0.000, 0.888)
H (0.500, 0.750, 0.500)
Tb (0.750, 0.500, 0.321)
H (0.000, 0.250, 0.500)
Tb (0.250, 0.000, 0.321)
Au (0.750, 0.000, 0.112)

---

Version Q
Entry from Alexandria: an optimized crystal structure of TbHAu (PBE-GGA).

a b c (Å): 4.720 3.817 9.427
angles (deg): 90.03 141.68 90.00
Atoms (fractional coordinates):
Au (0.210, 0.750, 0.293)
H (0.232, 0.250, 0.607)
H (0.768, 0.750, 0.393)
Tb (0.619, 0.250, 0.224)
Au (0.790, 0.250, 0.707)
Tb (0.381, 0.750, 0.776)

---

Version R
Entry from Alexandria: an optimized crystal structure of TbHAu (PBE-GGA).

a b c (Å): 3.487 3.487 5.207
angles (deg): 109.56 109.56 90.00
Atoms (fractional coordinates):
Au (0.304, 0.304, 0.608)
H (0.080, 0.080, 0.161)
Tb (0.616, 0.616, 0.231)

---

Which of them is most stable? Easy: version P.

---

Version P
Entry from Alexandria: an optimized crystal structure of Tc3HAu (PBE-GGA).

a b c (Å): 5.075 5.075 5.075
angles (deg): 90.00 90.00 90.00
Last column: magnetic moment on the atom in μB.
Atoms (fractional coordinates):
Tc (0.000, 0.000, 0.500)  3.34
H (0.500, 0.500, 0.500)  0.01
Tc (0.500, 0.000, 0.000)  2.71
Au (0.000, 0.000, 0.000)  0.27
Tc (0.000, 0.500, 0.000)  3.01

---

Version Q
Entry from Alexandria: an optimized crystal structure of Tc3HAu (PBE-GGA).

a b c (Å): 3.969 3.969 3.969
angles (deg): 90.00 90.00 90.00
Atoms (fractional coordinates):
Tc (0.000, 0.500, 0.000)
Tc (0.500, 0.000, 0.000)
Tc (0.000, 0.000, 0.500)
H (0.000, 0.000, 0.000)
Au (0.500, 0.500, 0.500)

---

Which of them is most stable? Easy: version Q.